1.
NdGe2Pt5 | PBE | optimized geometry

abc: 6.453 6.453 6.453
angles: 143.92 111.82 79.64
Atoms (fractional coordinates):
Nd: 0.000 0.000 0.000
Ge: 0.249 0.749 0.500
Ge: 0.751 0.251 0.500
Pt: 0.158 0.356 0.802
Pt: 0.446 0.644 0.802
Pt: 0.500 0.000 0.500
Pt: 0.554 0.356 0.198
Pt: 0.842 0.644 0.198

Output
DFT total energy = -6.24 eV per atom

2.
NdGe2Pt2 | PBE | optimized geometry

abc: 4.393 4.393 10.036
angles: 90.00 90.00 90.00
Atoms (fractional coordinates):
Nd: 0.250 0.250 0.249
Nd: 0.750 0.750 0.751
Ge: 0.250 0.250 0.629
Ge: 0.250 0.750 0.000
Ge: 0.750 0.250 0.000
Ge: 0.750 0.750 0.371
Pt: 0.250 0.250 0.875
Pt: 0.250 0.750 0.500
Pt: 0.750 0.250 0.500
Pt: 0.750 0.750 0.125

Output
DFT total energy = -6.15 eV per atom

3.
NdSiGePt2 | PBE | optimized geometry

abc: 4.332 4.332 9.961
angles: 90.00 90.00 90.00
Atoms (fractional coordinates):
Nd: 0.250 0.250 0.249
Nd: 0.750 0.750 0.751
Si: 0.250 0.250 0.625
Si: 0.750 0.750 0.375
Ge: 0.250 0.750 0.000
Ge: 0.750 0.250 0.000
Pt: 0.250 0.250 0.864
Pt: 0.250 0.750 0.500
Pt: 0.750 0.250 0.500
Pt: 0.750 0.750 0.136

Output
DFT total energy = -6.41 eV per atom
Energy above the most stable polymorph in this dataset = 0.000 eV per atom

4.
NdSiGePt2 | PBE | optimized geometry

abc: 4.320 4.320 10.004
angles: 90.00 90.00 90.00
Atoms (fractional coordinates):
Nd: 0.250 0.250 0.243
Nd: 0.750 0.750 0.757
Si: 0.250 0.750 0.000
Si: 0.750 0.250 0.000
Ge: 0.250 0.250 0.637
Ge: 0.750 0.750 0.363
Pt: 0.250 0.250 0.887
Pt: 0.250 0.750 0.500
Pt: 0.750 0.250 0.500
Pt: 0.750 0.750 0.113

Output
DFT total energy = -6.40 eV per atom
Energy above the most stable polymorph in this dataset = 0.008 eV per atom

5.
SrNdGe4Pt2 | PBE | optimized geometry

abc: 4.457 9.021 9.021
angles: 28.43 90.00 90.00
Atoms (fractional coordinates):
Sr: 0.000 0.000 0.000
Nd: 0.500 0.784 0.784
Ge: 0.000 0.356 0.356
Ge: 0.000 0.642 0.642
Ge: 0.500 0.145 0.145
Ge: 0.500 0.428 0.428
Pt: 0.000 0.216 0.216
Pt: 0.500 0.573 0.573

Output
DFT total energy = -5.43 eV per atom

6.
RbNdGe | PBE | optimized geometry

abc: 5.391 5.391 5.391
angles: 60.00 60.00 60.00
Atoms (fractional coordinates):
Rb: 0.000 0.000 0.000
Nd: 0.500 0.500 0.500
Ge: 0.750 0.750 0.750

Output
DFT total energy = -3.37 eV per atom